A relaxed K2Tm2PuS6 crystal, computed with PBE-GGA.

Cell: 6.872 6.872 7.879 Å, 98.45 98.45 119.99°
Each line ends with the local moment (μB).
Element x y z (fractional)
K 0.832 0.168 0.000  0.00
K 0.168 0.832 0.000  0.00
Tm 0.334 0.666 0.500  0.00
Tm 0.666 0.334 0.500  0.00
Pu 0.000 0.000 0.500  -4.50
S 0.736 0.736 0.693  0.07
S 0.063 0.396 0.694  0.06
S 0.264 0.264 0.307  0.07
S 0.396 0.063 0.694  0.06
S 0.937 0.604 0.306  0.06
S 0.604 0.937 0.306  0.06

The mass density is 4.6 g/cm³. Its space group is No. 12. Its formation energy (no corrections) is -1.75 eV/atom. The value obtained for the electronic total energy is -6.3186 eV/atom.